Record 1
First-principles (PBE) data for AcPuCuNi after structural relaxation, as listed in Alexandria via LeMat-Bulk.

Structure (POSCAR):
```
AcPuCuNi
1.0
0.0000 3.5850 3.5850
3.5850 0.0000 3.5850
3.5850 3.5850 0.0000
Ac Pu Cu Ni
1 1 1 1
Direct
0.0000 0.0000 0.0000 Ac
0.5000 0.5000 0.5000 Pu
0.7500 0.7500 0.7500 Cu
0.2500 0.2500 0.2500 Ni
```

Results
D(E_F) (states/eV per atom): 3.385
SG: F-43m
E_form (eV/atom): 0.0468

Record 2
First-principles (PBE) data for Ac2Cu6NiRh after structural relaxation, as listed in Alexandria via LeMat-Bulk.

Structure (POSCAR):
```
Ac2Cu6NiRh
1.0
6.3137 0.0000 0.0000
3.0067 5.5576 0.0000
3.0229 1.7873 5.2828
Ac Cu Ni Rh
2 6 1 1
Direct
0.1877 0.1896 0.1890 Ac
0.8123 0.8104 0.8110 Ac
0.1750 0.6143 0.3249 Cu
0.3252 0.1750 0.6125 Cu
0.3865 0.6744 0.8248 Cu
0.6135 0.3256 0.1752 Cu
0.6748 0.8250 0.3875 Cu
0.8250 0.3857 0.6751 Cu
0.5000 0.5000 0.5000 Ni
0.0000 0.0000 0.0000 Rh
```

Results
D(E_F) (states/eV per atom): 0.416
SG: P-1
E_form (eV/atom): -0.0999